Entry 1:
Density functional theory data (GGA-PBE) for a relaxed RbNp3 crystal.

energy of formation from the pure elements = 1.63 eV/atom
DOS at the Fermi energy = 20.43 states/eV per cell
offset from the most stable computed form = 0 meV per atom

The structure in CIF format:
```
data_RbNp3
_symmetry_space_group_name_H-M 'P m -3 m'
_symmetry_Int_Tables_number 221
_symmetry_space_group_name_Hall '-P 4 2 3'
_cell_length_a 4.897
_cell_length_b 4.897
_cell_length_c 4.897
_cell_angle_alpha 90.00
_cell_angle_beta 90.00
_cell_angle_gamma 90.00
loop_
_atom_site_label
_atom_site_fract_x
_atom_site_fract_y
_atom_site_fract_z
_atom_site_occupancy
Rb1 0.000 0.000 0.000 1
Np1 0.000 0.500 0.500 1
```


Entry 2:
Density functional theory data (GGA-PBE) for a relaxed LiBeAsSe2 crystal.

DOS at the Fermi energy = 2.94 states/eV per cell
offset from the most stable computed form = 703 meV per atom
energy relative to the elements, uncorrected = 724 meV/atom

The structure in CIF format:
```
data_LiBeAsSe2
_symmetry_space_group_name_H-M 'P 4/m m m'
_symmetry_Int_Tables_number 123
_symmetry_space_group_name_Hall '-P 4 2'
_cell_length_a 4.746
_cell_length_b 4.746
_cell_length_c 4.334
_cell_angle_alpha 90.00
_cell_angle_beta 90.00
_cell_angle_gamma 90.00
loop_
_atom_site_label
_atom_site_fract_x
_atom_site_fract_y
_atom_site_fract_z
_atom_site_occupancy
Li1 0.000 0.000 0.000 1
Be1 0.500 0.500 0.500 1
As1 0.000 0.000 0.500 1
Se1 0.000 0.500 0.000 1
```


Entry 3:
Density functional theory data (GGA-PBE) for a relaxed Sm2HfAl crystal.

energy of formation from the pure elements = -0.04 eV/atom
DOS at the Fermi energy = 2.27 states/eV per cell
offset from the most stable computed form = 22 meV per atom

The structure in CIF format:
```
data_Sm2HfAl
_symmetry_space_group_name_H-M 'P 4/m m m'
_symmetry_Int_Tables_number 123
_symmetry_space_group_name_Hall '-P 4 2'
_cell_length_a 3.401
_cell_length_b 3.401
_cell_length_c 9.046
_cell_angle_alpha 90.00
_cell_angle_beta 90.00
_cell_angle_gamma 90.00
loop_
_atom_site_label
_atom_site_fract_x
_atom_site_fract_y
_atom_site_fract_z
_atom_site_occupancy
Sm1 0.000 0.000 0.234 1
Hf1 0.500 0.500 0.500 1
Al1 0.500 0.500 0.000 1
```


> Among the records above, which one has the lowest DOS at the Fermi energy?

Sm2HfAl


Copy entry 2 word for word.
Density functional theory data (GGA-PBE) for a relaxed LiBeAsSe2 crystal.

DOS at the Fermi energy = 2.94 states/eV per cell
offset from the most stable computed form = 703 meV per atom
energy relative to the elements, uncorrected = 724 meV/atom

The structure in CIF format:
```
data_LiBeAsSe2
_symmetry_space_group_name_H-M 'P 4/m m m'
_symmetry_Int_Tables_number 123
_symmetry_space_group_name_Hall '-P 4 2'
_cell_length_a 4.746
_cell_length_b 4.746
_cell_length_c 4.334
_cell_angle_alpha 90.00
_cell_angle_beta 90.00
_cell_angle_gamma 90.00
loop_
_atom_site_label
_atom_site_fract_x
_atom_site_fract_y
_atom_site_fract_z
_atom_site_occupancy
Li1 0.000 0.000 0.000 1
Be1 0.500 0.500 0.500 1
As1 0.000 0.000 0.500 1
Se1 0.000 0.500 0.000 1
```


> Among the records above, which one has the lowest DOS at the Fermi energy?

Sm2HfAl